1.
Computed, not measured: a relaxed K2NaPr crystal at the PBE level of DFT.

Cell: 3.8279 3.8279 43.9284 Å, 90.00 90.00 120.00°
Space group R-3m (No. 166, hexagonal axes)
Asymmetric unit:
K: 0.0000 0.0000 0.0858 x6
Na: 0.0000 0.0000 0.5000 x3
Pr: 0.0000 0.0000 0.0000 x3

Output
DFT formation energy = 0.287 eV per atom
size of the total moment = 0.000 μB/atom
V = 46.45 Å³/atom



2.
Computed, not measured: a relaxed K2NaPt4 crystal at the PBE level of DFT.

Cell: 4.862 4.862 16.050 Å, 90.00 90.00 90.00°
Space group I4/mmm (No. 139)
Asymmetric unit:
K: 0.000 0.000 0.148 x4
Na: 0.000 0.000 0.500 x2
Pt: 0.000 0.000 0.350 x4
Pt: 0.000 0.500 0.000 x4

Output
DFT formation energy = 1.032 eV per atom
size of the total moment = 0.000 μB/atom
V = 27.10 Å³/atom



3.
Computed, not measured: a relaxed KNaPt2 crystal at the PBE level of DFT.

Cell: 4.883 4.883 19.753 Å, 90.00 90.00 90.00°
Space group I-42d (No. 122)
Asymmetric unit:
K: 0.000 0.000 0.000 x4
Na: 0.000 0.000 0.500 x4
Pt: 0.064 0.250 0.625 x8

Output
excess energy over the best structure of this formula in the dataset = 0 meV/atom
DFT formation energy = 0.132 eV per atom
size of the total moment = 0.000 μB/atom
V = 29.44 Å³/atom



4.
Computed, not measured: a relaxed KNaPt2 crystal at the PBE level of DFT.

Cell: 6.995 6.995 6.995 Å, 90.00 90.00 90.00°
Space group Fm-3m (No. 225)
Asymmetric unit:
K: 0.000 0.000 0.000 x4
Na: 0.000 0.000 0.500 x4
Pt: 0.250 0.250 0.250 x8

Output
excess energy over the best structure of this formula in the dataset = 327 meV/atom
DFT formation energy = 0.460 eV per atom
size of the total moment = 0.000 μB/atom
V = 21.39 Å³/atom



5.
Computed, not measured: a relaxed K2NaPt crystal at the PBE level of DFT.

Cell: 4.896 4.896 22.232 Å, 90.00 90.00 90.00°
Space group I-42d (No. 122)
Asymmetric unit:
K: 0.224 0.250 0.125 x8
Na: 0.000 0.000 0.500 x4
Pt: 0.000 0.000 0.000 x4

Output
DFT formation energy = 0.300 eV per atom
size of the total moment = 0.000 μB/atom
V = 33.30 Å³/atom



6.
Computed, not measured: a relaxed K2Na4Pt crystal at the PBE level of DFT.

Cell: 5.612 5.612 18.874 Å, 90.00 90.00 90.00°
Space group I4/mmm (No. 139)
Asymmetric unit:
K: 0.000 0.000 0.143 x4
Na: 0.000 0.000 0.351 x4
Na: 0.000 0.500 0.000 x4
Pt: 0.000 0.000 0.500 x2

Output
DFT formation energy = 0.038 eV per atom
size of the total moment = 0.000 μB/atom
V = 42.45 Å³/atom



7.
Computed, not measured: a relaxed K2NaPt crystal at the PBE level of DFT.

Cell: 3.3835 3.3835 39.1198 Å, 90.00 90.00 120.00°
Space group R-3m (No. 166, hexagonal axes)
Asymmetric unit:
K: 0.0000 0.0000 0.0728 x6
Na: 0.0000 0.0000 0.5000 x3
Pt: 0.0000 0.0000 0.0000 x3

Output
DFT formation energy = 0.533 eV per atom
size of the total moment = 0.000 μB/atom
V = 32.32 Å³/atom



8.
Computed, not measured: a relaxed KNa3Pt crystal at the PBE level of DFT.

Cell: 5.522 5.522 5.522 Å, 90.00 90.00 90.00°
Space group Pm-3m (No. 221)
Asymmetric unit:
K: 0.000 0.000 0.000 x1
Na: 0.000 0.000 0.500 x3
Pt: 0.500 0.500 0.500 x1

Output
excess energy over the best structure of this formula in the dataset = 915 meV/atom
DFT formation energy = 0.891 eV per atom
size of the total moment = 0.000 μB/atom
V = 33.67 Å³/atom



9.
Computed, not measured: a relaxed K2NaPt crystal at the PBE level of DFT.

Cell: 7.927 7.927 7.927 Å, 90.00 90.00 90.00°
Space group Fm-3m (No. 225)
Asymmetric unit:
K: 0.250 0.250 0.250 x8
Na: 0.000 0.000 0.000 x4
Pt: 0.000 0.000 0.500 x4

Output
DFT formation energy = 0.126 eV per atom
size of the total moment = 0.000 μB/atom
V = 31.13 Å³/atom



10.
Computed, not measured: a relaxed KNaPt crystal at the PBE level of DFT.

Cell: 3.907 3.907 10.739 Å, 90.00 90.00 90.00°
Space group I4mm (No. 107)
Asymmetric unit:
K: 0.000 0.000 0.000 x2
Na: 0.000 0.000 0.723 x2
Pt: 0.000 0.000 0.317 x2

Output
excess energy over the best structure of this formula in the dataset = 167 meV/atom
DFT formation energy = 0.088 eV per atom
size of the total moment = 0.000 μB/atom
V = 27.32 Å³/atom



11.
Computed, not measured: a relaxed KNaPt crystal at the PBE level of DFT.

Cell: 5.2554 5.2554 2.9253 Å, 90.00 90.00 120.00°
Space group P3m1 (No. 156)
Asymmetric unit:
K: 0.0000 0.0000 0.0000 x1
Na: 0.3333 0.6667 0.1965 x1
Pt: 0.6667 0.3333 0.5630 x1

Output
excess energy over the best structure of this formula in the dataset = 122 meV/atom
DFT formation energy = 0.043 eV per atom
size of the total moment = 0.000 μB/atom
V = 23.32 Å³/atom



12.
Computed, not measured: a relaxed KNa2Pt2 crystal at the PBE level of DFT.

Cell: 4.841 4.841 11.522 Å, 90.00 90.00 90.00°
Space group I4/mmm (No. 139)
Asymmetric unit:
K: 0.000 0.000 0.000 x2
Na: 0.000 0.500 0.250 x4
Pt: 0.000 0.000 0.390 x4

Output
excess energy over the best structure of this formula in the dataset = 167 meV/atom
DFT formation energy = 0.091 eV per atom
size of the total moment = 0.152 μB/atom
V = 27.01 Å³/atom